[1]
Material: RbBOsS2
Method: DFT, PBE
State: relaxed

```
5
Lattice="4.374 0.000 0.000 0.000 4.374 0.000 0.000 0.000 5.005" Properties=species:S:1:pos:R:3 pbc="T T T"
Rb 0.000 0.000 0.000
B 0.000 0.000 2.502
Os 2.187 2.187 0.000
S 0.000 2.187 2.502
S 2.187 0.000 2.502
```

- Space group: P4/mmm (123)



[2]
Material: RbHg2W2
Method: DFT, PBE
State: relaxed

```
5
Lattice="-1.828 1.828 10.089 1.828 -1.828 10.089 1.828 1.828 -10.089" Properties=species:S:1:pos:R:3 pbc="T T T"
Rb 0.000 0.000 0.000
Hg 0.000 0.000 7.473
Hg 0.000 0.000 12.705
W 1.828 0.000 5.045
W 0.000 1.828 5.045
```

- DFT formation energy: 0.83 eV per atom
- Offset from the most stable computed form: 0 meV/atom
- Space group: I4/mmm (139)



[3]
Material: Ce6GaRu
Method: DFT, PBE
State: relaxed

```
8
Lattice="3.808 -4.652 0.000 3.808 4.652 0.000 -1.672 0.000 6.014" Properties=species:S:1:pos:R:3 pbc="T T T"
Ce 1.647 2.711 4.180
Ce 0.924 0.000 5.351
Ce 4.297 2.711 1.834
Ce 1.647 -2.711 4.180
Ce 5.019 0.000 0.663
Ce 4.297 -2.711 1.834
Ga 2.972 0.000 3.007
Ru 0.000 0.000 0.000
```

- DFT formation energy: -0.11 eV per atom
- Space group: C2/m (12)



[4]
Material: AcTb4Co
Method: DFT, PBE
State: relaxed

```
6
Lattice="6.214 0.000 0.000 0.000 3.674 0.000 -1.708 0.000 8.939" Properties=species:S:1:pos:R:3 pbc="T T T"
Ac 0.000 0.000 0.000
Tb 0.092 1.837 3.127
Tb 1.321 0.000 6.233
Tb 3.185 0.000 2.706
Tb 4.414 1.837 5.812
Co 2.253 1.837 4.470
```

- DFT formation energy: 0.10 eV per atom
- Space group: P2/m (10)



[5]
Material: WCl
Method: DFT, PBE
State: relaxed

```
6
Lattice="6.122 -1.556 0.000 6.122 1.556 0.000 -1.936 0.000 7.808" Properties=species:S:1:pos:R:3 pbc="T T T"
W 0.000 0.000 0.000
W -1.273 0.000 5.335
W 3.051 0.000 5.807
Cl 4.855 0.000 1.487
Cl 7.933 0.000 0.544
Cl 7.187 0.000 4.799
```

- Offset from the most stable computed form: 423 meV/atom
- Space group: Cm (8)



[6]
Material: LaTb12Th5
Method: DFT, PBE
State: relaxed

```
18
Lattice="9.306 -5.341 0.000 9.306 5.341 0.000 -2.055 0.000 5.856" Properties=species:S:1:pos:R:3 pbc="T T T"
La 0.000 0.000 0.000
Tb 2.449 1.772 1.972
Tb 8.279 3.559 2.928
Tb 5.865 1.759 0.977
Tb 2.449 -1.772 1.972
Tb 9.306 1.720 0.000
Tb 5.865 -1.759 0.977
Tb 10.693 1.759 4.880
Tb 9.306 -1.720 0.000
Tb 14.109 1.772 3.884
Tb 10.693 -1.759 4.880
Tb 8.279 -3.559 2.928
Tb 14.109 -1.772 3.884
Th 1.439 0.000 4.855
Th 4.837 0.000 3.910
Th 8.279 0.000 2.928
Th 11.721 0.000 1.946
Th 15.119 0.000 1.001
```

- DFT formation energy: 0.05 eV per atom
- Space group: C2/m (12)



[7]
Material: POs2Se
Method: DFT, PBE
State: relaxed

```
4
Lattice="2.963 0.000 0.000 0.000 3.816 0.000 0.000 0.000 5.318" Properties=species:S:1:pos:R:3 pbc="T T T"
P 0.000 0.000 0.000
Os 0.000 0.000 2.976
Os 1.482 1.908 4.666
Se 1.482 1.908 2.065
```

- Offset from the most stable computed form: 164 meV/atom
- Space group: Pmm2 (25)



[8]
Material: PmEr2Co2
Method: DFT, PBE
State: relaxed

```
5
Lattice="1.937 -7.383 0.000 1.937 7.383 0.000 0.000 0.000 3.926" Properties=species:S:1:pos:R:3 pbc="T T T"
Pm 0.000 0.000 0.000
Er 1.937 2.267 1.963
Er 1.937 -2.267 1.963
Co 1.937 4.358 0.000
Co 1.937 -4.358 0.000
```

- DFT formation energy: -0.15 eV per atom
- Offset from the most stable computed form: 0 meV/atom
- Space group: Cmmm (65)



| no. | energy (eV per atom) |
| --- | --- |
| 1 | -3.607 |
| 2 | -4.669 |
| 3 | -6.098 |
| 4 | -4.857 |
| 5 | -7.220 |
| 6 | -5.373 |
| 7 | -7.478 |
| 8 | -5.769 |